DFT (PBE+U) results for a relaxed structure of Li5MnF8.

The space group is Cmmm (No. 65) and the conventional cell measures 5.706, 8.870 and 5.839 Å, with angles of 90.00, 90.00 and 90.00 degrees. The inequivalent atoms are Li at (0.000, 0.000, 0.000), Li at (0.250, 0.250, 0.236), Mn at (0.000, 0.000, 0.500), F at (0.000, 0.227, 0.000), F at (0.000, 0.237, 0.500) and F at (0.227, 0.000, 0.264).

The total energy comes out at -5.071 eV/atom. The density of states at the Fermi level comes out at 0.000 states/eV per atom. Its relative energy among the computed polymorphs is 0.000 eV/atom. Its crystal system is orthorhombic.